# 1
Crystalline NaBiOsPb at its relaxed geometry. Source: OQMD, functional PBE.

Unit cell a=6.9884 b=6.9884 c=6.9884 alpha=90.00 beta=90.00 gamma=90.00
Closest atoms and distances in Å follow each position.
Space group F-43m (No. 216)
One atom of each set of equivalent atoms:
Na  0.0000  0.0000  0.0000  4 Pb 3.03, 4 Bi 3.03
Bi  0.2500  0.2500  0.7500  4 Na 3.03, 4 Os 3.03
Os  0.0000  0.0000  0.5000  4 Bi 3.03, 4 Pb 3.03
Pb  0.2500  0.2500  0.2500  4 Na 3.03, 4 Os 3.03

Spin magnetization (μB per cell): 0.01
Crystal system: cubic
ΔE to the lowest computed polymorph (meV per atom): 0
E (eV per atom): -4.612

***

# 2
Crystalline NaSiBiOs at its relaxed geometry. Source: OQMD, functional PBE.

Unit cell a=6.5930 b=6.5930 c=6.5930 alpha=90.00 beta=90.00 gamma=90.00
Closest atoms and distances in Å follow each position.
Space group F-43m (No. 216)
One atom of each set of equivalent atoms:
Na  0.0000  0.0000  0.0000  4 Si 2.85, 4 Bi 2.85
Si  0.2500  0.2500  0.2500  4 Na 2.85, 4 Os 2.85
Bi  0.2500  0.2500  0.7500  4 Na 2.85, 4 Os 2.85
Os  0.0000  0.0000  0.5000  4 Bi 2.85, 4 Si 2.85

Spin magnetization (μB per cell): 0.00
Crystal system: cubic
ΔE to the lowest computed polymorph (meV per atom): 0
E (eV per atom): -5.053